Below is crystalline TaAg3 at its relaxed geometry, with properties calculated at the PBE-GGA level.

Formation enthalpy at 0 K: 0.8 eV/f.u.
Magnetization: 0.00 μB/atom
DFT total energy: -4.912 eV per atom

a = 2.9044 Å, b = 2.9044 Å, c = 9.8141 Å
α = 90.00°, β = 90.00°, γ = 120.00°
Fractional positions:
Ta: 0.0000 0.0000 0.0000
Ag: 0.0000 0.0000 0.5000
Ag: 0.6667 0.3333 0.2499
Ag: 0.6667 0.3333 0.7501